No. 1
Compound: Nb3OsPt2
Source: Alexandria
Functional: PBE
Structure: relaxed

abc: 2.8634 2.8634 12.0543
angles: 90.00 90.00 90.00
Closest atoms and distances in Å follow each position.
Space group P4/mmm (No. 123)
Asymmetric unit:
Nb: 0.0000 0.0000 0.0000 x1  8 Pt 2.85, 4 Nb 2.86
Nb: 0.0000 0.0000 0.3422 x2  4 Os 2.78, 4 Nb 2.86, 4 Pt 2.93
Os: 0.5000 0.5000 0.5000 x1  8 Nb 2.78, 4 Os 2.86
Pt: 0.5000 0.5000 0.1661 x2  8 Nb 2.85-2.93, 4 Pt 2.86

**Total magnetic moment**: 0.00 μB/cell
**Uncorrected energy**: -9.39 eV per atom
**V**: 98.8 Å³/cell

=====

No. 2
Compound: Ni2BI8
Source: Alexandria
Functional: PBE
Structure: relaxed

abc: 11.5729 9.7155 10.3857
angles: 90.00 123.50 90.00
Closest atoms and distances in Å follow each position.
Space group C2/m (No. 12)
Asymmetric unit:
Ni: 0.1959 0.0000 0.0993 x4  5 I 2.51-2.63
B: 0.0000 0.5000 0.5000 x2  4 I 2.38
I: 0.0173 0.0000 0.1711 x4  2 Ni 2.51-2.56
I: 0.1396 0.3252 0.6814 x8  1 B 2.38, 1 Ni 2.63
I: 0.1645 0.5000 0.0235 x4  1 Ni 2.55

**Total magnetic moment**: 1.08 μB/cell
**Uncorrected energy**: -2.59 eV per atom
**E_form (uncorrected)**: 18 kJ per mole of atoms
**V**: 973.7 Å³/cell

=====

No. 3
Compound: LaCuNi
Source: Alexandria
Functional: PBE
Structure: relaxed

abc: 10.0140 4.0071 6.9625
angles: 90.00 123.98 90.00
Closest atoms and distances in Å follow each position.
Space group C2/m (No. 12)
Asymmetric unit:
La: 0.0622 0.0000 0.2970 x4  5 Ni 2.87-3.04, 3 Cu 3.00-3.21
Cu: 0.2063 0.5000 0.0831 x4  3 Ni 2.51-2.53, 2 Cu 2.69
Ni: 0.1416 0.5000 0.6761 x4  1 Ni 2.51, 3 Cu 2.51-2.53

**Total magnetic moment**: 0.00 μB/cell
**Uncorrected energy**: -5.20 eV per atom
**V**: 231.7 Å³/cell

=====

No. 4
Compound: TlCdOs2
Source: Alexandria
Functional: PBE
Structure: relaxed

abc: 7.6571 7.6571 5.3127
angles: 90.00 90.00 90.00
Closest atoms and distances in Å follow each position.
Space group I-42d (No. 122)
Asymmetric unit:
Tl: 0.0000 0.0000 0.0000 x4  2 Cd 2.66, 4 Os 2.76
Cd: 0.0000 0.0000 0.5000 x4  2 Tl 2.66, 4 Os 2.81
Os: 0.2451 0.7500 0.1250 x8  2 Os 2.66, 2 Tl 2.76, 2 Cd 2.81

**Total magnetic moment**: 0.00 μB/cell
**Uncorrected energy**: -5.00 eV per atom
**V**: 311.5 Å³/cell

=====

No. 5
Compound: LaSc2W
Source: Alexandria
Functional: PBE
Structure: relaxed

abc: 3.0553 3.0553 10.2010
angles: 90.00 90.00 90.00
Closest atoms and distances in Å follow each position.
Space group P4mm (No. 99)
Asymmetric unit:
La: 0.0000 0.0000 0.0000 x1  4 La 3.06, 4 W 3.25
Sc: 0.0000 0.0000 0.5616 x1  4 W 2.98, 4 Sc 3.06
Sc: 0.5000 0.5000 0.3020 x1  8 Sc 3.06-3.42
W: 0.5000 0.5000 0.7626 x1  4 Sc 2.98, 4 W 3.06, 4 La 3.25

**Total magnetic moment**: 0.00 μB/cell
**Uncorrected energy**: -7.21 eV per atom
**V**: 95.2 Å³/cell

=====

No. 6
Compound: Nd2TeH2S
Source: Alexandria
Functional: PBE
Structure: relaxed

abc: 4.0358 4.0358 8.1516
angles: 90.00 90.00 120.00
Closest atoms and distances in Å follow each position.
Space group P-3m1 (No. 164)
Asymmetric unit:
Nd: 0.3333 0.6667 0.2262 x2  3 H 2.33
Te: 0.0000 0.0000 0.5000 x1  6 H 3.18, 6 Nd 3.23
H: 0.3333 0.6667 0.7647 x2  3 Nd 2.33
S: 0.0000 0.0000 0.0000 x1  6 Nd 2.97, 6 H 3.02

**Total magnetic moment**: 0.00 μB/cell
**Uncorrected energy**: -5.26 eV per atom
**V**: 115.0 Å³/cell

=====

No. 7
Compound: KMgC3
Source: Alexandria
Functional: PBE
Structure: relaxed

abc: 4.3330 4.3330 4.3330
angles: 90.00 90.00 90.00
Closest atoms and distances in Å follow each position.
Space group Pm-3m (No. 221)
Asymmetric unit:
K: 0.0000 0.0000 0.0000 x1  12 C 3.06
Mg: 0.5000 0.5000 0.5000 x1  6 C 2.17
C: 0.0000 0.5000 0.5000 x3  2 Mg 2.17

**Total magnetic moment**: 0.00 μB/cell
**Uncorrected energy**: -3.41 eV per atom
**Relative energy among the computed polymorphs**: 0.0 meV/atom
**V**: 81.3 Å³/cell

=====

No. 8
Compound: Pr4Bi2TeAs
Source: Alexandria
Functional: PBE
Structure: relaxed

abc: 7.8446 4.5239 7.8616
angles: 90.00 109.30 90.00
Closest atoms and distances in Å follow each position.
Space group P2/m (No. 10)
Asymmetric unit:
Pr: 0.2349 0.0000 0.2342 x2  2 As 3.11, 3 Bi 3.20-3.31, 1 Te 3.21
Pr: 0.2425 0.5000 0.7595 x2  1 As 3.09, 3 Bi 3.20-3.31, 2 Te 3.21
Bi: 0.5000 0.0000 0.0000 x1  6 Pr 3.20
Bi: 0.5000 0.5000 0.5000 x1  6 Pr 3.31
Te: 0.0000 0.0000 0.5000 x1  6 Pr 3.21
As: 0.0000 0.5000 0.0000 x1  6 Pr 3.09-3.11

**Total magnetic moment**: 0.00 μB/cell
**Uncorrected energy**: -5.56 eV per atom
**E_form (uncorrected)**: -118 kJ per mole of atoms
**V**: 263.3 Å³/cell

=====

No. 9
Compound: AgAsPt2
Source: Alexandria
Functional: PBE
Structure: relaxed

abc: 2.9551 3.9060 5.8989
angles: 90.00 90.00 90.00
Closest atoms and distances in Å follow each position.
Space group Pmm2 (No. 25)
Asymmetric unit:
Ag: 0.0000 0.0000 0.0000 x1  6 Pt 2.84-2.97, 2 Ag 2.96, 4 As 3.08
As: 0.5000 0.5000 0.3171 x1  5 Pt 2.58-2.67
Pt: 0.0000 0.0000 0.4962 x1  4 As 2.67, 6 Pt 2.89-2.96, 2 Ag 2.93-2.97
Pt: 0.5000 0.5000 0.7548 x1  1 As 2.58, 4 Ag 2.84, 4 Pt 2.89

**Total magnetic moment**: 0.00 μB/cell
**Uncorrected energy**: -4.91 eV per atom
**V**: 68.1 Å³/cell

=====

No. 10
Compound: ZnCoSN2
Source: Alexandria
Functional: PBE
Structure: relaxed

abc: 3.7066 3.7066 5.4942
angles: 90.00 90.00 90.00
Closest atoms and distances in Å follow each position.
Space group P4/mmm (No. 123)
Asymmetric unit:
Zn: 0.0000 0.0000 0.0000 x1  4 N 1.85
Co: 0.5000 0.5000 0.5000 x1  4 S 2.62
S: 0.0000 0.0000 0.5000 x1  4 Co 2.62, 2 Zn 2.75
N: 0.0000 0.5000 0.0000 x2  2 Zn 1.85

**Total magnetic moment**: 5.13 μB/cell
**Uncorrected energy**: -4.13 eV per atom
**Relative energy among the computed polymorphs**: 879.7 meV/atom
**E_form (uncorrected)**: 164 kJ per mole of atoms
**V**: 75.5 Å³/cell

=====

No. 11
Compound: MgOsCl2
Source: Alexandria
Functional: PBE
Structure: relaxed

abc: 4.3784 4.3784 15.4850
angles: 90.00 90.00 90.00
Closest atoms and distances in Å follow each position.
Space group I-42d (No. 122)
Asymmetric unit:
Mg: 0.0000 0.0000 0.0000 x4  4 Cl 2.53
Os: 0.0000 0.0000 0.5000 x4  4 Cl 2.43
Cl: 0.2235 0.2500 0.6250 x8  2 Os 2.43, 2 Mg 2.53

**Total magnetic moment**: 0.00 μB/cell
**Uncorrected energy**: -3.84 eV per atom
**Relative energy among the computed polymorphs**: 504.8 meV/atom
**E_form (uncorrected)**: 28 kJ per mole of atoms
**V**: 296.9 Å³/cell

=====

No. 12
Compound: NaTa2CoCu
Source: Alexandria
Functional: PBE
Structure: relaxed

abc: 4.5511 4.5511 4.7029
angles: 90.00 90.00 90.00
Closest atoms and distances in Å follow each position.
Space group P4/mmm (No. 123)
Asymmetric unit:
Na: 0.0000 0.0000 0.0000 x1  4 Cu 3.22, 8 Ta 3.27
Ta: 0.0000 0.5000 0.5000 x2  2 Co 2.28
Co: 0.5000 0.5000 0.5000 x1  4 Ta 2.28, 2 Cu 2.35
Cu: 0.5000 0.5000 0.0000 x1  2 Co 2.35

**Total magnetic moment**: 0.00 μB/cell
**Uncorrected energy**: -6.30 eV per atom
**V**: 97.4 Å³/cell